Entry 1:
The following is a PBE-GGA calculation of a relaxed CsGe8Au6 crystal, from the Alexandria database.

Values from the calculation:
- volume (Å³/atom) = 21.37
- spin magnetization (μB per atom) = 0.00
- energy (eV per atom) = -3.743
- formation energy (eV/atom) = 0.09

Cell lengths 7.057, 7.057, 7.057 Å; angles 74.92, 74.92, 74.92 degrees
Fractional coordinates of all 15 atoms:
1 Cs 0.000 0.000 0.000
2 Ge 0.131 0.479 0.797
3 Ge 0.203 0.869 0.521
4 Ge 0.233 0.233 0.233
5 Ge 0.479 0.797 0.131
6 Ge 0.521 0.203 0.869
7 Ge 0.767 0.767 0.767
8 Ge 0.797 0.131 0.479
9 Ge 0.869 0.521 0.203
10 Au 0.177 0.578 0.368
11 Au 0.368 0.177 0.578
12 Au 0.422 0.632 0.823
13 Au 0.578 0.368 0.177
14 Au 0.632 0.823 0.422
15 Au 0.823 0.422 0.632

Entry 2:
The following is a PBE-GGA calculation of a relaxed AcTb4Y7 crystal, from the Alexandria database.

Values from the calculation:
- E above lowest polymorph (eV/f.u.) = 0.000
- volume (Å³/atom) = 33.16
- spin magnetization (μB per atom) = 0.00
- energy (eV per atom) = -5.644
- formation energy (eV/atom) = 0.01

Cell lengths 6.287, 7.275, 8.952 Å; angles 90.03, 103.58, 90.05 degrees
Fractional coordinates of all 12 atoms:
1 Ac 0.000 0.000 0.000
2 Tb 0.221 0.499 0.664
3 Tb 0.279 0.747 0.337
4 Tb 0.721 0.253 0.663
5 Tb 0.779 0.501 0.336
6 Y 0.000 0.500 0.000
7 Y 0.224 0.999 0.661
8 Y 0.281 0.254 0.337
9 Y 0.500 0.254 0.999
10 Y 0.500 0.746 0.001
11 Y 0.719 0.746 0.663
12 Y 0.776 0.001 0.339